# MnZnGa2 PBE relaxed
# Symmetry: No. 160
data_MnZnGa2
_space_group_name_H-M_alt 'P 1'
_space_group_IT_number 1
_space_group_name_Hall 'P 1'
_cell_length_a 8.6728
_cell_length_b 8.6728
_cell_length_c 8.6728
_cell_angle_alpha 19.13
_cell_angle_beta 19.13
_cell_angle_gamma 19.13
loop_
_atom_site_label
_atom_site_type_symbol
_atom_site_fract_x
_atom_site_fract_y
_atom_site_fract_z
Mn1 Mn 0.0000 0.0000 0.0000
Zn1 Zn 0.8343 0.8343 0.8343
Ga1 Ga 0.4127 0.4127 0.4127
Ga2 Ga 0.5881 0.5881 0.5881



# MnZn23Ga6 PBE relaxed
# Symmetry: No. 225
data_MnZn23Ga6
_space_group_name_H-M_alt 'P 1'
_space_group_IT_number 1
_space_group_name_Hall 'P 1'
_cell_length_a 8.8485
_cell_length_b 8.8485
_cell_length_c 8.8485
_cell_angle_alpha 60.00
_cell_angle_beta 60.00
_cell_angle_gamma 60.00
loop_
_atom_site_label
_atom_site_type_symbol
_atom_site_fract_x
_atom_site_fract_y
_atom_site_fract_z
Mn1 Mn 0.0000 0.0000 0.0000
Zn1 Zn 0.0000 0.0000 0.5000
Zn2 Zn 0.0000 0.5000 0.0000
Zn3 Zn 0.0000 0.5000 0.5000
Zn4 Zn 0.1355 0.6215 0.6215
Zn5 Zn 0.1638 0.1638 0.1638
Zn6 Zn 0.1638 0.1638 0.5085
Zn7 Zn 0.1638 0.5085 0.1638
Zn8 Zn 0.3785 0.3785 0.3785
Zn9 Zn 0.3785 0.3785 0.8645
Zn10 Zn 0.3785 0.8645 0.3785
Zn11 Zn 0.4915 0.8362 0.8362
Zn12 Zn 0.5000 0.0000 0.0000
Zn13 Zn 0.5000 0.0000 0.5000
Zn14 Zn 0.5000 0.5000 0.0000
Zn15 Zn 0.5000 0.5000 0.5000
Zn16 Zn 0.5085 0.1638 0.1638
Zn17 Zn 0.6215 0.1355 0.6215
Zn18 Zn 0.6215 0.6215 0.1355
Zn19 Zn 0.6215 0.6215 0.6215
Zn20 Zn 0.8362 0.4915 0.8362
Zn21 Zn 0.8362 0.8362 0.4915
Zn22 Zn 0.8362 0.8362 0.8362
Zn23 Zn 0.8645 0.3785 0.3785
Ga1 Ga 0.2152 0.2152 0.7848
Ga2 Ga 0.2152 0.7848 0.2152
Ga3 Ga 0.2152 0.7848 0.7848
Ga4 Ga 0.7848 0.2152 0.2152
Ga5 Ga 0.7848 0.2152 0.7848
Ga6 Ga 0.7848 0.7848 0.2152



# MnZn4Ga PBE relaxed
# Excess energy over the best structure of this formula in the dataset (eV/atom): 0.048
# Symmetry: No. 11
data_MnZn4Ga
_space_group_name_H-M_alt 'P 1'
_space_group_IT_number 1
_space_group_name_Hall 'P 1'
_cell_length_a 4.3054
_cell_length_b 6.8850
_cell_length_c 6.9613
_cell_angle_alpha 90.00
_cell_angle_beta 107.89
_cell_angle_gamma 90.00
loop_
_atom_site_label
_atom_site_type_symbol
_atom_site_fract_x
_atom_site_fract_y
_atom_site_fract_z
Mn1 Mn 0.0397 0.2500 0.0843
Mn2 Mn 0.9603 0.7500 0.9157
Zn1 Zn 0.1415 0.5679 0.2784
Zn2 Zn 0.1415 0.9321 0.2784
Zn3 Zn 0.2457 0.2500 0.4997
Zn4 Zn 0.4382 0.2500 0.8801
Zn5 Zn 0.5618 0.7500 0.1199
Zn6 Zn 0.7543 0.7500 0.5003
Zn7 Zn 0.8585 0.0679 0.7216
Zn8 Zn 0.8585 0.4321 0.7216
Ga1 Ga 0.3592 0.7500 0.7117
Ga2 Ga 0.6408 0.2500 0.2883



Number 1: E -4.080 eV/atom, ΔE_f 44 meV per atom. Number 2: E -1.809 eV/atom, ΔE_f 79 meV per atom. Number 3: E -2.750 eV/atom, ΔE_f 132 meV per atom.